PBE-GGA ScRh4C, optimized geometry; space group = I4_1/a; DFT formation energy = 0.06 eV per atom
1.0
5.754 0.000 0.000
0.000 5.754 0.000
-2.877 -2.877 5.628
Rh Sc C
8 2 2
direct
0.130 0.659 0.688 Rh
0.409 0.807 0.188 Rh
0.620 0.591 0.812 Rh
0.971 0.870 0.312 Rh
0.779 0.380 0.188 Rh
0.341 0.443 0.312 Rh
0.193 0.221 0.812 Rh
0.557 0.029 0.688 Rh
0.750 0.250 0.500 Sc
0.000 0.000 0.000 Sc
0.250 0.750 0.500 C
0.500 0.500 0.000 C